Arrangement one

The following is a PBE-GGA calculation of a relaxed structure of GdThTe, from Alexandria via LeMat-Bulk.

Cell lengths 3.835, 5.276, 5.276 Å; angles 120.00, 90.00, 90.00 degrees
Site moments in Bohr magnetons follow the coordinates.
Fractional positions:
Gd 0.501 0.667 0.333  7.22
Te 0.499 0.333 0.667  -0.01
Th 0.001 0.000 0.000  0.24

The value obtained for the density of states at the Fermi level is 4.93 states/eV per cell. Its space group is P3m1, No. 156.

Arrangement two

The following is a PBE-GGA calculation of a relaxed structure of GdThTe, from Alexandria via LeMat-Bulk.

Cell lengths 3.861, 3.861, 6.840 Å; angles 106.39, 106.39, 90.00 degrees
Site moments in Bohr magnetons follow the coordinates.
Fractional positions:
Gd 0.020 0.020 0.040  7.16
Te 0.664 0.664 0.327  -0.01
Th 0.317 0.317 0.633  0.09

The value obtained for the density of states at the Fermi level is 3.87 states/eV per cell. Its space group is I4mm, No. 107.

Which structure above is the least stable one? arrangement one is the least stable one.